1.
# BaLi2ZnH

A geometry-optimized BaLi2ZnH structure (PBE, the Alexandria database).

The calculation puts the total DFT energy (no corrections) at -2.13 eV per atom. As for the total magnetization: 0.0 μB per formula unit. The theoretical density is 3.23 g/cm³.

The space group is P4/mmm (No. 123) and the conventional cell measures 4.503, 4.503 and 5.524 Å, with angles of 90.00, 90.00 and 90.00 degrees. The distinct sites, in fractional coordinates, are Ba at (0.000, 0.000, 0.000), Li at (0.000, 0.500, 0.500), Zn at (0.500, 0.500, 0.000) and H at (0.000, 0.000, 0.500).

2.
# Ba2LiZnH6

A geometry-optimized Ba2LiZnH6 structure (PBE, the Alexandria database).

The calculation puts the total DFT energy (no corrections) at -3.02 eV per atom. As for the total magnetization: 0.2 μB per formula unit. The theoretical density is 4.45 g/cm³.

The space group is Immm (No. 71) and the conventional cell measures 5.708, 5.718 and 8.066 Å, with angles of 90.00, 90.00 and 90.00 degrees. The distinct sites, in fractional coordinates, are Ba at (0.000, 0.000, 0.250), Li at (0.000, 0.500, 0.000), Zn at (0.000, 0.500, 0.500), H at (0.000, 0.500, 0.258) and H at (0.240, 0.258, 0.500).